Record 1
The following is a DFT calculation (PBE-GGA) of Tb3Cu8Rh after structural relaxation.

As for the crystal system: trigonal. Its density of states at the Fermi level is 31.05 states/eV/cell. Its total energy is -4.718 eV per atom. For the magnetic moment, the calculation gives 0.0 Bohr magnetons per cell.

The structure belongs to space group R3m (No. 160, hexagonal axes); the cell edges are 5.1019, 5.1019 and 25.4972 Å and the angles 90.00°, 90.00° and 120.00°. Symmetry generates all atoms from Tb at (0.0000, 0.0000, 0.0000), Tb at (0.0000, 0.0000, 0.1306), Tb at (0.0000, 0.0000, 0.5238), Cu at (0.0000, 0.0000, 0.3220), Cu at (0.0000, 0.0000, 0.8223), Cu at (0.1673, 0.3345, 0.4035), Cu at (0.1700, 0.3400, 0.9067) and Rh at (0.0000, 0.0000, 0.6417).

Record 2
The following is a DFT calculation (PBE-GGA) of NpCu2I6 after structural relaxation.

As for the crystal system: monoclinic. Its density of states at the Fermi level is 19.33 states/eV/cell. Its relative energy among the computed polymorphs is 0 meV per atom. For the magnetic moment, the calculation gives 6.4 Bohr magnetons per cell.

The structure belongs to space group C2/m (No. 12); the cell edges are 17.047, 4.286 and 10.825 Å and the angles 90.00°, 105.15° and 90.00°. Symmetry generates all atoms from Np at (0.000, 0.000, 0.000), Cu at (0.226, 0.000, 0.419), I at (0.066, 0.000, 0.283), I at (0.124, 0.500, 0.974) and I at (0.208, 0.000, 0.652).

Record 3
The following is a DFT calculation (PBE-GGA) of Ce2Cu3Ge4 after structural relaxation.

As for the crystal system: orthorhombic. Its density of states at the Fermi level is 41.02 states/eV/cell. Its total energy is -5.160 eV per atom. For the magnetic moment, the calculation gives 0.1 Bohr magnetons per cell.

The structure belongs to space group Cmce (No. 64); the cell edges are 5.784, 14.828 and 7.548 Å and the angles 90.00°, 90.00° and 90.00°. Symmetry generates all atoms from Ce at (0.000, 0.114, 0.088), Cu at (0.000, 0.000, 0.500), Cu at (0.250, 0.219, 0.750), Ge at (0.000, 0.181, 0.470) and Ge at (0.250, 0.052, 0.750).

Record 4
The following is a DFT calculation (PBE-GGA) of Li5InHg3 after structural relaxation.

As for the crystal system: hexagonal. Its density of states at the Fermi level is 6.35 states/eV/cell. Its total energy is -1.777 eV per atom. For the magnetic moment, the calculation gives 0.0 Bohr magnetons per cell.

The structure belongs to space group P6_3/mcm (No. 193); the cell edges are 8.1630, 8.1630 and 5.9844 Å and the angles 90.00°, 90.00° and 120.00°. Symmetry generates all atoms from Li at (0.0000, 0.3186, 0.2500), Li at (0.3333, 0.6667, 0.0000), In at (0.0000, 0.0000, 0.0000) and Hg at (0.0000, 0.3559, 0.7500).

Record 5
The following is a DFT calculation (PBE-GGA) of La5Ho3Tm2 after structural relaxation.

As for the crystal system: monoclinic. Its density of states at the Fermi level is 68.44 states/eV/cell. Its total energy is -4.572 eV per atom. For the magnetic moment, the calculation gives 0.0 Bohr magnetons per cell.

The structure belongs to space group C2/c (No. 15); the cell edges are 10.838, 14.863 and 10.149 Å and the angles 90.00°, 122.21° and 90.00°. Symmetry generates all atoms from La at (0.000, 0.017, 0.250), La at (0.000, 0.226, 0.250), La at (0.000, 0.475, 0.750), La at (0.248, 0.369, 0.242), Ho at (0.000, 0.269, 0.750), Ho at (0.154, 0.374, 0.559) and Tm at (0.156, 0.130, 0.062).

Record 6
The following is a DFT calculation (PBE-GGA) of AgHg2Os after structural relaxation.

As for the crystal system: tetragonal. Its density of states at the Fermi level is 11.76 states/eV/cell. Its relative energy among the computed polymorphs is 418 meV per atom. For the magnetic moment, the calculation gives 1.9 Bohr magnetons per cell.

The structure belongs to space group I-42d (No. 122); the cell edges are 4.117, 4.117 and 19.392 Å and the angles 90.00°, 90.00° and 90.00°. Symmetry generates all atoms from Ag at (0.000, 0.000, 0.000), Hg at (0.240, 0.250, 0.625) and Os at (0.000, 0.000, 0.500).

Record 7
The following is a DFT calculation (PBE-GGA) of TbNd4Dy8 after structural relaxation.

As for the crystal system: trigonal. Its density of states at the Fermi level is 68.36 states/eV/cell. Its total energy is -4.140 eV per atom. For the magnetic moment, the calculation gives 5.1 Bohr magnetons per cell.

The structure belongs to space group R-3m (No. 166, hexagonal axes); the cell edges are 11.0658, 11.0658 and 13.5127 Å and the angles 90.00°, 90.00° and 120.00°. Symmetry generates all atoms from Tb at (0.0000, 0.0000, 0.0000), Nd at (0.0000, 0.0000, 0.5000), Nd at (0.0000, 0.5000, 0.5000), Dy at (0.0000, 0.0000, 0.2603) and Dy at (0.0133, 0.5067, 0.2459).

Record 8
The following is a DFT calculation (PBE-GGA) of BeGaCo3 after structural relaxation.

As for the crystal system: cubic. Its density of states at the Fermi level is 12.92 states/eV/cell. Its relative energy among the computed polymorphs is 953 meV per atom. For the magnetic moment, the calculation gives 3.4 Bohr magnetons per cell.

The structure belongs to space group Pm-3m (No. 221); the cell edges are 4.275, 4.275 and 4.275 Å and the angles 90.00°, 90.00° and 90.00°. Symmetry generates all atoms from Be at (0.000, 0.000, 0.000), Ga at (0.500, 0.500, 0.500) and Co at (0.000, 0.500, 0.500).

Record 9
The following is a DFT calculation (PBE-GGA) of GdTmZnAg after structural relaxation.

As for the crystal system: cubic. Its density of states at the Fermi level is 13.60 states/eV/cell. Its total energy is -5.988 eV per atom. For the magnetic moment, the calculation gives 28.6 Bohr magnetons per cell.

The structure belongs to space group F-43m (No. 216); the cell edges are 7.206, 7.206 and 7.206 Å and the angles 90.00°, 90.00° and 90.00°. Symmetry generates all atoms from Gd at (0.000, 0.000, 0.000), Tm at (0.000, 0.000, 0.500), Zn at (0.250, 0.250, 0.750) and Ag at (0.250, 0.250, 0.250).

Record 10
The following is a DFT calculation (PBE-GGA) of Hf2CrMoPd after structural relaxation.

As for the crystal system: tetragonal. Its density of states at the Fermi level is 5.79 states/eV/cell. Its total energy is -8.173 eV per atom. For the magnetic moment, the calculation gives 0.0 Bohr magnetons per cell.

The structure belongs to space group P4/mmm (No. 123); the cell edges are 4.720, 4.720 and 4.438 Å and the angles 90.00°, 90.00° and 90.00°. Symmetry generates all atoms from Hf at (0.000, 0.500, 0.000), Cr at (0.000, 0.000, 0.000), Mo at (0.500, 0.500, 0.500) and Pd at (0.000, 0.000, 0.500).

Record 11
The following is a DFT calculation (PBE-GGA) of Zr2FeS after structural relaxation.

As for the crystal system: tetragonal. Its density of states at the Fermi level is 8.02 states/eV/cell. Its total energy is -7.427 eV per atom. For the magnetic moment, the calculation gives 0.0 Bohr magnetons per cell.

The structure belongs to space group I-42d (No. 122); the cell edges are 5.689, 5.689 and 11.576 Å and the angles 90.00°, 90.00° and 90.00°. Symmetry generates all atoms from Zr at (0.224, 0.250, 0.125), Fe at (0.000, 0.000, 0.000) and S at (0.000, 0.000, 0.500).

Record 12
The following is a DFT calculation (PBE-GGA) of PaFePt2 after structural relaxation.

As for the crystal system: tetragonal. Its density of states at the Fermi level is 2.99 states/eV/cell. Its total energy is -8.229 eV per atom. For the magnetic moment, the calculation gives 0.8 Bohr magnetons per cell.

The structure belongs to space group P4/mmm (No. 123); the cell edges are 3.974, 3.974 and 4.276 Å and the angles 90.00°, 90.00° and 90.00°. Symmetry generates all atoms from Pa at (0.000, 0.000, 0.000), Fe at (0.500, 0.500, 0.000) and Pt at (0.000, 0.500, 0.500).

Record 13
The following is a DFT calculation (PBE-GGA) of DyThTlSn after structural relaxation.

As for the crystal system: cubic. Its density of states at the Fermi level is 16.81 states/eV/cell. Its total energy is -4.928 eV per atom. For the magnetic moment, the calculation gives 0.0 Bohr magnetons per cell.

The structure belongs to space group F-43m (No. 216); the cell edges are 7.687, 7.687 and 7.687 Å and the angles 90.00°, 90.00° and 90.00°. Symmetry generates all atoms from Dy at (0.000, 0.000, 0.000), Th at (0.000, 0.000, 0.500), Tl at (0.250, 0.250, 0.750) and Sn at (0.250, 0.250, 0.250).

Record 14
The following is a DFT calculation (PBE-GGA) of Y2Al2CuNi5 after structural relaxation.

As for the crystal system: tetragonal. Its density of states at the Fermi level is 12.61 states/eV/cell. Its total energy is -5.602 eV per atom. For the magnetic moment, the calculation gives 0.0 Bohr magnetons per cell.

The structure belongs to space group P4/mbm (No. 127); the cell edges are 9.765, 9.765 and 3.192 Å and the angles 90.00°, 90.00° and 90.00°. Symmetry generates all atoms from Y at (0.175, 0.325, 0.000), Al at (0.126, 0.626, 0.000), Cu at (0.000, 0.000, 0.000), Ni at (0.000, 0.500, 0.500) and Ni at (0.055, 0.806, 0.500).

Record 15
The following is a DFT calculation (PBE-GGA) of PrY5Au6 after structural relaxation.

As for the crystal system: monoclinic. Its density of states at the Fermi level is 6.25 states/eV/cell. Its total energy is -5.567 eV per atom. For the magnetic moment, the calculation gives 0.0 Bohr magnetons per cell.

The structure belongs to space group P2/m (No. 10); the cell edges are 5.145, 7.216 and 8.168 Å and the angles 90.00°, 108.44° and 90.00°. Symmetry generates all atoms from Pr at (0.000, 0.000, 0.000), Y at (0.000, 0.500, 0.000), Y at (0.333, 0.000, 0.665), Y at (0.335, 0.500, 0.668), Au at (0.170, 0.254, 0.343) and Au at (0.500, 0.262, 0.000).

Record 16
The following is a DFT calculation (PBE-GGA) of Zr2CoSiH after structural relaxation.

As for the crystal system: tetragonal. Its density of states at the Fermi level is 3.63 states/eV/cell. Its total energy is -7.023 eV per atom. For the magnetic moment, the calculation gives 1.4 Bohr magnetons per cell.

The structure belongs to space group P4/mmm (No. 123); the cell edges are 4.341, 4.341 and 3.715 Å and the angles 90.00°, 90.00° and 90.00°. Symmetry generates all atoms from Zr at (0.000, 0.500, 0.000), Co at (0.000, 0.000, 0.500), Si at (0.500, 0.500, 0.500) and H at (0.000, 0.000, 0.000).

Record 17
The following is a DFT calculation (PBE-GGA) of Sr4MgCd after structural relaxation.

As for the crystal system: cubic. Its density of states at the Fermi level is 31.18 states/eV/cell. Its relative energy among the computed polymorphs is 505 meV per atom. For the magnetic moment, the calculation gives 0.0 Bohr magnetons per cell.

The structure belongs to space group F-43m (No. 216); the cell edges are 10.408, 10.408 and 10.408 Å and the angles 90.00°, 90.00° and 90.00°. Symmetry generates all atoms from Sr at (0.125, 0.125, 0.125), Mg at (0.000, 0.000, 0.500) and Cd at (0.250, 0.250, 0.750).

Record 18
The following is a DFT calculation (PBE-GGA) of UIrRu after structural relaxation.

As for the crystal system: trigonal. Its density of states at the Fermi level is 3.57 states/eV/cell. Its relative energy among the computed polymorphs is 352 meV per atom. For the magnetic moment, the calculation gives 0.0 Bohr magnetons per cell.

The structure belongs to space group P3m1 (No. 156); the cell edges are 3.6052, 3.6052 and 4.9752 Å and the angles 90.00°, 90.00° and 120.00°. Symmetry generates all atoms from U at (0.0000, 0.0000, 0.0000), Ir at (0.6667, 0.3333, 0.3381) and Ru at (0.3333, 0.6667, 0.6820).

Record 19
The following is a DFT calculation (PBE-GGA) of Pm5Dy2Er5 after structural relaxation.

As for the crystal system: monoclinic. Its density of states at the Fermi level is 34.92 states/eV/cell. Its total energy is -4.629 eV per atom. For the magnetic moment, the calculation gives 0.0 Bohr magnetons per cell.

The structure belongs to space group C2/m (No. 12); the cell edges are 15.144, 5.040 and 11.317 Å and the angles 90.00°, 116.55° and 90.00°. Symmetry generates all atoms from Pm at (0.000, 0.000, 0.000), Pm at (0.084, 0.000, 0.751), Pm at (0.166, 0.000, 0.499), Dy at (0.083, 0.500, 0.249), Er at (0.000, 0.500, 0.500), Er at (0.168, 0.500, 0.001) and Er at (0.249, 0.000, 0.248).

Record 20
The following is a DFT calculation (PBE-GGA) of Th2AlGa2 after structural relaxation.

As for the crystal system: orthorhombic. Its density of states at the Fermi level is 9.59 states/eV/cell. Its total energy is -5.434 eV per atom. For the magnetic moment, the calculation gives 0.0 Bohr magnetons per cell.

The structure belongs to space group Immm (No. 71); the cell edges are 4.238, 5.945 and 9.348 Å and the angles 90.00°, 90.00° and 90.00°. Symmetry generates all atoms from Th at (0.000, 0.000, 0.212), Al at (0.000, 0.500, 0.000) and Ga at (0.000, 0.280, 0.500).

Record 21
The following is a DFT calculation (PBE-GGA) of SrTl3Pd after structural relaxation.

As for the crystal system: monoclinic. Its density of states at the Fermi level is 9.82 states/eV/cell. Its relative energy among the computed polymorphs is 31 meV per atom. For the magnetic moment, the calculation gives 0.0 Bohr magnetons per cell.

The structure belongs to space group C2/m (No. 12); the cell edges are 19.497, 4.651 and 6.488 Å and the angles 90.00°, 105.87° and 90.00°. Symmetry generates all atoms from Sr at (0.089, 0.000, 0.331), Tl at (0.050, 0.500, 0.823), Tl at (0.166, 0.000, 0.904), Tl at (0.215, 0.500, 0.631) and Pd at (0.190, 0.500, 0.179).

Record 22
The following is a DFT calculation (PBE-GGA) of Al5GaAg4 after structural relaxation.

As for the crystal system: orthorhombic. Its density of states at the Fermi level is 6.78 states/eV/cell. Its total energy is -3.259 eV per atom. For the magnetic moment, the calculation gives 0.0 Bohr magnetons per cell.

The structure belongs to space group Pmmn (No. 59, origin choice 2); the cell edges are 8.360, 9.268 and 4.794 Å and the angles 90.00°, 90.00° and 90.00°. Symmetry generates all atoms from Al at (0.081, 0.003, 0.245), Al at (0.250, 0.750, 0.099), Ga at (0.250, 0.250, 0.159), Ag at (0.022, 0.750, 0.509) and Ag at (0.250, 0.509, 0.748).